# 1
# PBE-GGA InAsRuCl, optimized geometry
# formation energy from raw total energies = -0.31 eV per atom
# calculated total energy = -4.937 eV/atom
data_InAsRuCl
_space_group_name_H-M_alt 'A m m 2'
_space_group_IT_number 38
_space_group_name_Hall 'A 2 -2'
_cell_length_a 3.1622
_cell_length_b 3.1458
_cell_length_c 16.5642
_cell_angle_alpha 90.00
_cell_angle_beta 90.00
_cell_angle_gamma 90.00
loop_
_atom_site_label
_atom_site_fract_x
_atom_site_fract_y
_atom_site_fract_z
_atom_site_occupancy
In1 0.0000 0.0000 0.0000 1
As1 0.0000 0.0000 0.1908 1
Ru1 0.5000 0.0000 0.6101 1
Cl1 0.5000 0.0000 0.8770 1

---

# 2
# PBE-GGA Tb5DyMg3, optimized geometry
# calculated total energy = -3.204 eV/atom
# ΔH_f (0 K) = 411 meV/atom
data_Tb5DyMg3
_space_group_name_H-M_alt 'C 1 2/m 1'
_space_group_IT_number 12
_space_group_name_Hall '-C 2y'
_cell_length_a 13.4727
_cell_length_b 8.2814
_cell_length_c 10.6142
_cell_angle_alpha 90.00
_cell_angle_beta 98.08
_cell_angle_gamma 90.00
loop_
_atom_site_label
_atom_site_fract_x
_atom_site_fract_y
_atom_site_fract_z
_atom_site_occupancy
Tb1 0.0000 0.1731 0.0000 1
Tb2 0.0171 0.0000 0.6517 1
Tb3 0.1495 0.3040 0.7328 1
Tb4 0.2478 0.5000 0.0362 1
Dy1 0.1054 0.5000 0.2678 1
Mg1 0.0000 0.5000 0.0000 1
Mg2 0.0000 0.5000 0.5000 1
Mg3 0.1571 0.0000 0.2080 1
Mg4 0.2142 0.0000 0.4950 1

---

# 3
# PBE-GGA VHg3C, optimized geometry
# calculated total energy = -2.449 eV/atom
# ΔH_f (0 K) = 1401 meV/atom
data_VHg3C
_space_group_name_H-M_alt 'P m -3 m'
_space_group_IT_number 221
_space_group_name_Hall '-P 4 2 3'
_cell_length_a 4.6867
_cell_length_b 4.6867
_cell_length_c 4.6867
_cell_angle_alpha 90.00
_cell_angle_beta 90.00
_cell_angle_gamma 90.00
loop_
_atom_site_label
_atom_site_fract_x
_atom_site_fract_y
_atom_site_fract_z
_atom_site_occupancy
V1 0.0000 0.0000 0.0000 1
Hg1 0.0000 0.5000 0.5000 1
C1 0.5000 0.5000 0.5000 1

---

no.,D(E_F) (states/eV/f.u.)
1,1.309
2,12.434
3,6.207